# Sc2Cd5Cu

A geometry-optimized Sc2Cd5Cu structure (PBE-GGA, Alexandria).

Properties
Total moment (μB/f.u.): 0.00
E_form (eV/f.u.): -0.81
DOS at the Fermi energy (states/eV per cell): 15.2

Lattice parameters (Å, degrees): 4.8343 4.8343 24.6243 90.00 90.00 120.00
Space group R-3m (No. 166, hexagonal axes)
One atom of each set of equivalent atoms:
Sc1 0.0000 0.0000 0.1214
Cd1 0.0000 0.0000 0.2491
Cd2 0.0000 0.0000 0.3716
Cd3 0.0000 0.0000 0.5000
Cu1 0.0000 0.0000 0.0000

# Sc4CdCu2

A geometry-optimized Sc4CdCu2 structure (PBE-GGA, Alexandria).

Properties
Total moment (μB/f.u.): 0.00
E_form (eV/f.u.): 0.26
DOS at the Fermi energy (states/eV per cell): 26.2

Lattice parameters (Å, degrees): 4.5229 4.5229 26.3039 90.00 90.00 120.00
Space group R-3m (No. 166, hexagonal axes)
One atom of each set of equivalent atoms:
Sc1 0.0000 0.0000 0.1084
Sc2 0.0000 0.0000 0.2992
Cd1 0.0000 0.0000 0.5000
Cu1 0.0000 0.0000 0.4005

# Sc3CdCu

A geometry-optimized Sc3CdCu structure (PBE-GGA, Alexandria).

Properties
Total moment (μB/f.u.): 0.95
E_form (eV/f.u.): 0.66
E above lowest polymorph (kJ/mol of formula units): 0
DOS at the Fermi energy (states/eV per cell): 12.8

Lattice parameters (Å, degrees): 4.971 4.971 4.971 90.00 90.00 90.00
Space group Pm-3m (No. 221)
One atom of each set of equivalent atoms:
Sc1 0.000 0.000 0.500
Cd1 0.500 0.500 0.500
Cu1 0.000 0.000 0.000

# Sc4CdCu

A geometry-optimized Sc4CdCu structure (PBE-GGA, Alexandria).

Properties
Total moment (μB/f.u.): 0.00
E_form (eV/f.u.): 2.23
E above lowest polymorph (kJ/mol of formula units): 310
DOS at the Fermi energy (states/eV per cell): 24.1

Lattice parameters (Å, degrees): 8.148 8.148 8.148 90.00 90.00 90.00
Space group F-43m (No. 216)
One atom of each set of equivalent atoms:
Sc1 0.125 0.125 0.125
Cd1 0.250 0.250 0.750
Cu1 0.000 0.000 0.500

# ScCdCu5

A geometry-optimized ScCdCu5 structure (PBE-GGA, Alexandria).

Properties
Total moment (μB/f.u.): 0.00
E_form (eV/f.u.): -0.81
DOS at the Fermi energy (states/eV per cell): 16.9

Lattice parameters (Å, degrees): 8.117 4.892 10.504 90.00 90.00 90.00
Space group Pnma (No. 62)
One atom of each set of equivalent atoms:
Sc1 0.249 0.250 0.070
Cd1 0.134 0.250 0.365
Cu1 0.048 0.250 0.602
Cu2 0.069 0.502 0.813
Cu3 0.083 0.750 0.016
Cu4 0.189 0.750 0.236

# ScCdCu3

A geometry-optimized ScCdCu3 structure (PBE-GGA, Alexandria).

Properties
Total moment (μB/f.u.): 0.00
E_form (eV/f.u.): 3.37
E above lowest polymorph (kJ/mol of formula units): 0
DOS at the Fermi energy (states/eV per cell): 3.7

Lattice parameters (Å, degrees): 4.716 4.716 4.716 90.00 90.00 90.00
Space group Pm-3m (No. 221)
One atom of each set of equivalent atoms:
Sc1 0.000 0.000 0.000
Cd1 0.500 0.500 0.500
Cu1 0.000 0.500 0.500

# ScCdCu

A geometry-optimized ScCdCu structure (PBE-GGA, Alexandria).

Properties
Total moment (μB/f.u.): 0.00
E_form (eV/f.u.): -0.20
DOS at the Fermi energy (states/eV per cell): 11.7

Lattice parameters (Å, degrees): 6.298 6.298 6.298 90.00 90.00 90.00
Space group F-43m (No. 216)
One atom of each set of equivalent atoms:
Sc1 0.000 0.000 0.000
Cd1 0.000 0.000 0.500
Cu1 0.250 0.250 0.750

# ScCdCu

A geometry-optimized ScCdCu structure (PBE-GGA, Alexandria).

Properties
Total moment (μB/f.u.): 0.00
E_form (eV/f.u.): 0.05
DOS at the Fermi energy (states/eV per cell): 2.5

Lattice parameters (Å, degrees): 3.3155 3.3155 6.3616 90.00 90.00 120.00
Space group P3m1 (No. 156)
One atom of each set of equivalent atoms:
Sc1 0.0000 0.0000 0.0000
Cd1 0.6667 0.3333 0.3882
Cu1 0.3333 0.6667 0.7033

# Sc3Cd3Cu2

A geometry-optimized Sc3Cd3Cu2 structure (PBE-GGA, Alexandria).

Properties
Total moment (μB/f.u.): 0.00
E_form (eV/f.u.): -2.04
DOS at the Fermi energy (states/eV per cell): 7.7

Lattice parameters (Å, degrees): 7.2683 7.2683 3.4694 90.00 90.00 120.00
Space group P-62m (No. 189)
One atom of each set of equivalent atoms:
Sc1 0.0000 0.5817 0.0000
Cd1 0.0000 0.2357 0.5000
Cu1 0.3333 0.6667 0.5000

# Sc2Cd3Cu

A geometry-optimized Sc2Cd3Cu structure (PBE-GGA, Alexandria).

Properties
Total moment (μB/f.u.): 0.04
E_form (eV/f.u.): -1.17
DOS at the Fermi energy (states/eV per cell): 4.1

Lattice parameters (Å, degrees): 3.183 4.716 8.220 90.00 90.00 90.00
Space group Pmm2 (No. 25)
One atom of each set of equivalent atoms:
Sc1 0.000 0.000 0.000
Sc2 0.000 0.500 0.462
Cd1 0.500 0.000 0.629
Cd2 0.500 0.500 0.152
Cd3 0.500 0.500 0.811
Cu1 0.500 0.000 0.307

# ScCdCu

A geometry-optimized ScCdCu structure (PBE-GGA, Alexandria).

Properties
Total moment (μB/f.u.): 0.00
E_form (eV/f.u.): -0.54
DOS at the Fermi energy (states/eV per cell): 4.1

Lattice parameters (Å, degrees): 3.173 3.173 11.082 90.00 90.00 90.00
Space group I4mm (No. 107)
One atom of each set of equivalent atoms:
Sc1 0.000 0.000 0.000
Cd1 0.000 0.000 0.300
Cu1 0.000 0.000 0.648

# Sc8CdCu2

A geometry-optimized Sc8CdCu2 structure (PBE-GGA, Alexandria).

Properties
Total moment (μB/f.u.): 2.72
E_form (eV/f.u.): -0.42
E above lowest polymorph (kJ/mol of formula units): 58
DOS at the Fermi energy (states/eV per cell): 33.7

Lattice parameters (Å, degrees): 8.173 12.698 4.944 90.00 106.17 90.00
Space group C2/m (No. 12)
One atom of each set of equivalent atoms:
Sc1 0.000 0.241 0.000
Sc2 0.108 0.500 0.804
Sc3 0.202 0.123 0.590
Cd1 0.000 0.000 0.000
Cu1 0.000 0.310 0.500